First-principles (GGA-PBE) data for a relaxed Sn5Sb crystal, as listed in the Alexandria database.

Results
uncorrected formation energy: 76 meV per atom
relative energy among the computed polymorphs: 0.036 eV per atom
V: 27.76 Å³/atom

a = 5.2389 Å, b = 15.7292 Å, c = 4.0428 Å
α = 90.00°, β = 90.00°, γ = 90.00°
Space group Cmmm (No. 65)
Inequivalent atoms, fractional coordinates:
Sn 0.0000 0.0000 0.0000 [2 per cell]
Sn 0.0000 0.1804 0.5000 [4 per cell]
Sn 0.0000 0.3437 0.0000 [4 per cell]
Sb 0.0000 0.5000 0.5000 [2 per cell]

***

First-principles (GGA-PBE) data for a relaxed MnMo2 crystal, as listed in the Alexandria database.

Results
total energy: -10.023 eV per atom
V: 14.77 Å³/atom

a = 3.7037 Å, b = 3.7037 Å, c = 25.8456 Å
α = 90.00°, β = 90.00°, γ = 90.00°
Space group I4_1/amd (No. 141, origin choice 2)
Inequivalent atoms, fractional coordinates:
Mn 0.0000 0.2500 0.2892 [8 per cell]
Mo 0.0000 0.2500 0.1241 [8 per cell]
Mo 0.0000 0.2500 0.7897 [8 per cell]

***

First-principles (GGA-PBE) data for a relaxed Ca2GeBAs crystal, as listed in the Alexandria database.

Results
total energy: -3.987 eV per atom
V: 22.30 Å³/atom

a = 5.3687 Å, b = 5.3687 Å, c = 3.8690 Å
α = 90.00°, β = 90.00°, γ = 90.00°
Space group P4/mmm (No. 123)
Inequivalent atoms, fractional coordinates:
Ca 0.0000 0.5000 0.0000 [2 per cell]
Ge 0.0000 0.0000 0.5000 [1 per cell]
B 0.5000 0.5000 0.0000 [1 per cell]
As 0.5000 0.5000 0.5000 [1 per cell]

***

First-principles (GGA-PBE) data for a relaxed LaCl crystal, as listed in the Alexandria database.

Results
uncorrected formation energy: -1501 meV per atom
V: 25.07 Å³/atom

a = 5.8534 Å, b = 5.8534 Å, c = 5.8534 Å
α = 90.00°, β = 90.00°, γ = 90.00°
Space group Fm-3m (No. 225)
Inequivalent atoms, fractional coordinates:
La 0.0000 0.0000 0.0000 [4 per cell]
Cl 0.0000 0.0000 0.5000 [4 per cell]

***

First-principles (GGA-PBE) data for a relaxed CePaSnPb crystal, as listed in the Alexandria database.

Results
total energy: -5.921 eV per atom
V: 28.30 Å³/atom

a = 7.6791 Å, b = 7.6791 Å, c = 7.6791 Å
α = 90.00°, β = 90.00°, γ = 90.00°
Space group F-43m (No. 216)
Inequivalent atoms, fractional coordinates:
Ce 0.0000 0.0000 0.0000 [4 per cell]
Pa 0.0000 0.0000 0.5000 [4 per cell]
Sn 0.2500 0.2500 0.7500 [4 per cell]
Pb 0.2500 0.2500 0.2500 [4 per cell]

***

First-principles (GGA-PBE) data for a relaxed ScCr2B2 crystal, as listed in the Alexandria database.

Results
total energy: -8.025 eV per atom
V: 10.44 Å³/atom

a = 5.9078 Å, b = 5.9078 Å, c = 2.9918 Å
α = 90.00°, β = 90.00°, γ = 90.00°
Space group P4/mbm (No. 127)
Inequivalent atoms, fractional coordinates:
Sc 0.0000 0.0000 0.0000 [2 per cell]
Cr 0.1678 0.3322 0.5000 [4 per cell]
B 0.1062 0.6062 0.0000 [4 per cell]

***

First-principles (GGA-PBE) data for a relaxed Sm4HgTe2Se crystal, as listed in the Alexandria database.

Results
uncorrected formation energy: -1271 meV per atom
V: 29.55 Å³/atom

a = 7.6164 Å, b = 4.2719 Å, c = 7.6567 Å
α = 90.00°, β = 108.38°, γ = 90.00°
Space group P2/m (No. 10)
Inequivalent atoms, fractional coordinates:
Sm 0.2397 0.0000 0.2303 [2 per cell]
Sm 0.2526 0.5000 0.7619 [2 per cell]
Hg 0.5000 0.0000 0.0000 [1 per cell]
Te 0.0000 0.0000 0.5000 [1 per cell]
Te 0.5000 0.5000 0.5000 [1 per cell]
Se 0.0000 0.5000 0.0000 [1 per cell]

***

First-principles (GGA-PBE) data for a relaxed Mg2CuBr crystal, as listed in the Alexandria database.

Results
uncorrected formation energy: 25 meV per atom
relative energy among the computed polymorphs: 0.367 eV per atom
V: 20.52 Å³/atom

a = 4.4214 Å, b = 4.4214 Å, c = 8.3985 Å
α = 90.00°, β = 90.00°, γ = 90.00°
Space group I4/mmm (No. 139)
Inequivalent atoms, fractional coordinates:
Mg 0.0000 0.5000 0.2500 [4 per cell]
Cu 0.0000 0.0000 0.0000 [2 per cell]
Br 0.0000 0.0000 0.5000 [2 per cell]

***

First-principles (GGA-PBE) data for a relaxed PuSb6Pd12 crystal, as listed in the Alexandria database.

Results
uncorrected formation energy: -330 meV per atom
V: 20.01 Å³/atom

a = 11.9802 Å, b = 11.9802 Å, c = 9.1768 Å
α = 90.00°, β = 90.00°, γ = 120.00°
Space group R-3m (No. 166, hexagonal axes)
Inequivalent atoms, fractional coordinates:
Pu 0.0000 0.0000 0.0000 [3 per cell]
Sb 0.0557 0.5279 0.2636 [18 per cell]
Pd 0.0000 0.3798 0.5000 [18 per cell]
Pd 0.0806 0.1613 0.2847 [18 per cell]

***

First-principles (GGA-PBE) data for a relaxed Ac5La12Y crystal, as listed in the Alexandria database.

Results
total energy: -4.767 eV per atom
V: 38.63 Å³/atom

a = 11.3443 Å, b = 5.3963 Å, c = 11.3581 Å
α = 90.00°, β = 90.14°, γ = 90.00°
Space group P2/m (No. 10)
Inequivalent atoms, fractional coordinates:
Ac 0.0000 0.0000 0.0000 [1 per cell]
Ac 0.1676 0.5000 0.8327 [2 per cell]
Ac 0.3368 0.0000 0.6633 [2 per cell]
La 0.0038 0.0000 0.3383 [2 per cell]
La 0.1666 0.5000 0.4963 [2 per cell]
La 0.1715 0.5000 0.1717 [2 per cell]
La 0.3314 0.0000 0.3315 [2 per cell]
La 0.3385 0.0000 0.0036 [2 per cell]
La 0.4961 0.5000 0.1669 [2 per cell]
Y 0.5000 0.5000 0.5000 [1 per cell]

***

First-principles (GGA-PBE) data for a relaxed Be2VCrAs crystal, as listed in the Alexandria database.

Results
total energy: -5.130 eV per atom
V: 14.67 Å³/atom

a = 4.2473 Å, b = 4.2473 Å, c = 4.0663 Å
α = 90.00°, β = 90.00°, γ = 90.00°
Space group P4/mmm (No. 123)
Inequivalent atoms, fractional coordinates:
Be 0.0000 0.5000 0.0000 [2 per cell]
V 0.0000 0.0000 0.5000 [1 per cell]
Cr 0.0000 0.0000 0.0000 [1 per cell]
As 0.5000 0.5000 0.5000 [1 per cell]

***

First-principles (GGA-PBE) data for a relaxed Mg2C crystal, as listed in the Alexandria database.

Results
relative energy among the computed polymorphs: 0.000 eV per atom
V: 15.25 Å³/atom

a = 5.0760 Å, b = 5.0760 Å, c = 3.5515 Å
α = 90.00°, β = 90.00°, γ = 90.00°
Space group P4_2/mnm (No. 136)
Inequivalent atoms, fractional coordinates:
Mg 0.1928 0.1928 0.0000 [4 per cell]
C 0.0000 0.0000 0.5000 [2 per cell]

***

First-principles (GGA-PBE) data for a relaxed AgMo2Au crystal, as listed in the Alexandria database.

Results
relative energy among the computed polymorphs: 0.088 eV per atom
V: 16.83 Å³/atom

a = 2.7725 Å, b = 4.1155 Å, c = 5.9146 Å
α = 90.00°, β = 94.12°, γ = 90.00°
Space group Pm (No. 6)
Inequivalent atoms, fractional coordinates:
Ag 0.0000 0.0000 0.0000 [1 per cell]
Mo 0.0976 0.0000 0.5148 [1 per cell]
Mo 0.4496 0.5000 0.7358 [1 per cell]
Au 0.5351 0.5000 0.2498 [1 per cell]

***

First-principles (GGA-PBE) data for a relaxed SrHfSN2 crystal, as listed in the Alexandria database.

Results
uncorrected formation energy: 1272 meV per atom
relative energy among the computed polymorphs: 2.094 eV per atom
V: 18.49 Å³/atom

a = 4.1708 Å, b = 4.1708 Å, c = 5.3150 Å
α = 90.00°, β = 90.00°, γ = 90.00°
Space group P4/mmm (No. 123)
Inequivalent atoms, fractional coordinates:
Sr 0.0000 0.0000 0.0000 [1 per cell]
Hf 0.5000 0.5000 0.5000 [1 per cell]
S 0.0000 0.0000 0.5000 [1 per cell]
N 0.0000 0.5000 0.0000 [2 per cell]

***

First-principles (GGA-PBE) data for a relaxed SrAg3Os crystal, as listed in the Alexandria database.

Results
relative energy among the computed polymorphs: 0.000 eV per atom
V: 27.08 Å³/atom

a = 5.1350 Å, b = 5.1350 Å, c = 5.1350 Å
α = 90.00°, β = 90.00°, γ = 90.00°
Space group Pm-3m (No. 221)
Inequivalent atoms, fractional coordinates:
Sr 0.0000 0.0000 0.0000 [1 per cell]
Ag 0.0000 0.5000 0.5000 [3 per cell]
Os 0.5000 0.5000 0.5000 [1 per cell]

***

First-principles (GGA-PBE) data for a relaxed LiAlHg2Pt crystal, as listed in the Alexandria database.

Results
total energy: -2.378 eV per atom
V: 25.26 Å³/atom

a = 5.1758 Å, b = 5.1758 Å, c = 4.7149 Å
α = 90.00°, β = 90.00°, γ = 90.00°
Space group P4/mmm (No. 123)
Inequivalent atoms, fractional coordinates:
Li 0.0000 0.0000 0.0000 [1 per cell]
Al 0.5000 0.5000 0.5000 [1 per cell]
Hg 0.0000 0.5000 0.5000 [2 per cell]
Pt 0.5000 0.5000 0.0000 [1 per cell]

***

First-principles (GGA-PBE) data for a relaxed Ce2ThNi crystal, as listed in the Alexandria database.

Results
relative energy among the computed polymorphs: 0.041 eV per atom
V: 24.53 Å³/atom

a = 3.5168 Å, b = 3.5168 Å, c = 7.9344 Å
α = 90.00°, β = 90.00°, γ = 90.00°
Space group P4/mmm (No. 123)
Inequivalent atoms, fractional coordinates:
Ce 0.0000 0.0000 0.1984 [2 per cell]
Th 0.5000 0.5000 0.5000 [1 per cell]
Ni 0.5000 0.5000 0.0000 [1 per cell]

***

First-principles (GGA-PBE) data for a relaxed NaTiAgF6 crystal, as listed in the Alexandria database.

Results
uncorrected formation energy: -2753 meV per atom
V: 15.47 Å³/atom

a = 5.7870 Å, b = 5.7870 Å, c = 4.8000 Å
α = 90.00°, β = 90.00°, γ = 120.00°
Space group P312 (No. 149)
Inequivalent atoms, fractional coordinates:
Na 0.0000 0.0000 0.0000 [1 per cell]
Ti 0.6667 0.3333 0.5000 [1 per cell]
Ag 0.3333 0.6667 0.5000 [1 per cell]
F 0.3881 0.0729 0.7261 [6 per cell]

***

First-principles (GGA-PBE) data for a relaxed CaTeCl2 crystal, as listed in the Alexandria database.

Results
uncorrected formation energy: -894 meV per atom
relative energy among the computed polymorphs: 0.563 eV per atom
V: 26.61 Å³/atom

a = 7.5230 Å, b = 7.5230 Å, c = 7.5230 Å
α = 90.00°, β = 90.00°, γ = 90.00°
Space group Fm-3m (No. 225)
Inequivalent atoms, fractional coordinates:
Ca 0.0000 0.0000 0.0000 [4 per cell]
Te 0.0000 0.0000 0.5000 [4 per cell]
Cl 0.2500 0.2500 0.2500 [8 per cell]

***

First-principles (GGA-PBE) data for a relaxed Ce6PrIr3 crystal, as listed in the Alexandria database.

Results
total energy: -7.141 eV per atom
V: 26.82 Å³/atom

a = 11.2633 Å, b = 13.0508 Å, c = 7.2980 Å
α = 90.00°, β = 90.00°, γ = 90.00°
Space group Cmc2_1 (No. 36)
Inequivalent atoms, fractional coordinates:
Ce 0.0000 0.0316 0.0000 [4 per cell]
Ce 0.0000 0.2265 0.6632 [4 per cell]
Ce 0.1656 0.4520 0.5195 [8 per cell]
Ce 0.2353 0.1856 0.3619 [8 per cell]
Pr 0.0000 0.3197 0.1689 [4 per cell]
Ir 0.0000 0.4225 0.8149 [4 per cell]
Ir 0.1932 0.0983 0.7104 [8 per cell]

***

First-principles (GGA-PBE) data for a relaxed ZnTc2Os crystal, as listed in the Alexandria database.

Results
total energy: -8.083 eV per atom
V: 14.36 Å³/atom

a = 3.7632 Å, b = 3.7632 Å, c = 8.1107 Å
α = 90.00°, β = 90.00°, γ = 90.00°
Space group I-4m2 (No. 119)
Inequivalent atoms, fractional coordinates:
Zn 0.0000 0.0000 0.0000 [2 per cell]
Tc 0.0000 0.0000 0.5000 [2 per cell]
Tc 0.0000 0.5000 0.2500 [2 per cell]
Os 0.0000 0.5000 0.7500 [2 per cell]

***

First-principles (GGA-PBE) data for a relaxed La6Ag2Os crystal, as listed in the Alexandria database.

Results
relative energy among the computed polymorphs: 0.000 eV per atom
V: 33.11 Å³/atom

a = 7.0534 Å, b = 7.8193 Å, c = 12.6827 Å
α = 90.00°, β = 121.57°, γ = 90.00°
Space group P2_1/c (No. 14)
Inequivalent atoms, fractional coordinates:
La 0.1189 0.0281 0.2499 [4 per cell]
La 0.2325 0.6861 0.0598 [4 per cell]
La 0.3801 0.1893 0.0574 [4 per cell]
Ag 0.3187 0.1037 0.7608 [4 per cell]
Os 0.0000 0.0000 0.0000 [2 per cell]

***

First-principles (GGA-PBE) data for a relaxed KSb4Os crystal, as listed in the Alexandria database.

Results
uncorrected formation energy: 894 meV per atom
V: 28.34 Å³/atom

a = 8.7939 Å, b = 8.7939 Å, c = 8.7939 Å
α = 90.00°, β = 90.00°, γ = 90.00°
Space group F-43m (No. 216)
Inequivalent atoms, fractional coordinates:
K 0.0000 0.0000 0.0000 [4 per cell]
Sb 0.1241 0.1241 0.3759 [16 per cell]
Os 0.2500 0.2500 0.7500 [4 per cell]

***

First-principles (GGA-PBE) data for a relaxed NaHg2BS4 crystal, as listed in the Alexandria database.

Results
uncorrected formation energy: -417 meV per atom
V: 22.20 Å³/atom

a = 8.4646 Å, b = 6.5253 Å, c = 6.4302 Å
α = 90.00°, β = 90.00°, γ = 90.00°
Space group Pmn2_1 (No. 31)
Inequivalent atoms, fractional coordinates:
Na 0.0000 0.1685 0.0000 [2 per cell]
Hg 0.2444 0.2984 0.5355 [4 per cell]
B 0.0000 0.8057 0.5248 [2 per cell]
S 0.0000 0.0883 0.4255 [2 per cell]
S 0.0000 0.7811 0.8261 [2 per cell]
S 0.1948 0.6853 0.4280 [4 per cell]